1.
The following is a PBE calculation of a relaxed Ce12Co6Bi crystal, from Alexandria via LeMat-Bulk.

Results
Total moment: 8.3 μB/cell
Energy of formation: -0.1928 eV per atom
Calculated total energy: -6.389 eV per atom

```
data_Ce12Co6Bi
_chemical_formula_sum 'Ce12 Co6 Bi1'
_symmetry_space_group_name_H-M 'P 1'
_symmetry_Int_Tables_number 1
_symmetry_space_group_name_Hall 'P 1'
_cell_length_a 8.3778
_cell_length_b 8.3778
_cell_length_c 8.3778
_cell_angle_alpha 109.47
_cell_angle_beta 109.47
_cell_angle_gamma 109.47
loop_
_atom_site_label
_atom_site_fract_x
_atom_site_fract_y
_atom_site_fract_z
_atom_site_occupancy
Ce1 0.3110 0.1306 0.8196 1
Ce2 0.3110 0.4914 0.1804 1
Ce3 0.6890 0.5086 0.8196 1
Ce4 0.6890 0.8694 0.1804 1
Ce5 0.1306 0.8196 0.3110 1
Ce6 0.4914 0.1804 0.3110 1
Ce7 0.5086 0.8196 0.6890 1
Ce8 0.8694 0.1804 0.6890 1
Ce9 0.8196 0.3110 0.1306 1
Ce10 0.1804 0.3110 0.4914 1
Ce11 0.8196 0.6890 0.5086 1
Ce12 0.1804 0.6890 0.8694 1
Co1 0.3602 0.5000 0.8602 1
Co2 0.6398 0.5000 0.1398 1
Co3 0.5000 0.8602 0.3602 1
Co4 0.5000 0.1398 0.6398 1
Co5 0.8602 0.3602 0.5000 1
Co6 0.1398 0.6398 0.5000 1
Bi1 0.0000 0.0000 0.0000 1
```

***

2.
The following is a PBE calculation of a relaxed Ce6CoBi2H crystal, from Alexandria via LeMat-Bulk.

Results
Total moment: 4.8 μB/cell
Calculated total energy: -5.798 eV per atom

```
data_Ce6CoBi2H
_chemical_formula_sum 'Ce6 Co1 Bi2 H1'
_symmetry_space_group_name_H-M 'P 1'
_symmetry_Int_Tables_number 1
_symmetry_space_group_name_Hall 'P 1'
_cell_length_a 4.9663
_cell_length_b 4.9663
_cell_length_c 10.2283
_cell_angle_alpha 90.00
_cell_angle_beta 90.00
_cell_angle_gamma 90.00
loop_
_atom_site_label
_atom_site_fract_x
_atom_site_fract_y
_atom_site_fract_z
_atom_site_occupancy
Ce1 0.5000 0.0000 0.0000 1
Ce2 0.5000 0.0000 0.5000 1
Ce3 0.0000 0.5000 0.0000 1
Ce4 0.0000 0.5000 0.5000 1
Ce5 0.5000 0.5000 0.7286 1
Ce6 0.5000 0.5000 0.2714 1
Co1 0.5000 0.5000 0.0000 1
Bi1 0.0000 0.0000 0.7469 1
Bi2 0.0000 0.0000 0.2531 1
H1 0.5000 0.5000 0.5000 1
```

***

What did the first record say?
The following is a PBE calculation of a relaxed Ce12Co6Bi crystal, from Alexandria via LeMat-Bulk.

Results
Total moment: 8.3 μB/cell
Energy of formation: -0.1928 eV per atom
Calculated total energy: -6.389 eV per atom

```
data_Ce12Co6Bi
_chemical_formula_sum 'Ce12 Co6 Bi1'
_symmetry_space_group_name_H-M 'P 1'
_symmetry_Int_Tables_number 1
_symmetry_space_group_name_Hall 'P 1'
_cell_length_a 8.3778
_cell_length_b 8.3778
_cell_length_c 8.3778
_cell_angle_alpha 109.47
_cell_angle_beta 109.47
_cell_angle_gamma 109.47
loop_
_atom_site_label
_atom_site_fract_x
_atom_site_fract_y
_atom_site_fract_z
_atom_site_occupancy
Ce1 0.3110 0.1306 0.8196 1
Ce2 0.3110 0.4914 0.1804 1
Ce3 0.6890 0.5086 0.8196 1
Ce4 0.6890 0.8694 0.1804 1
Ce5 0.1306 0.8196 0.3110 1
Ce6 0.4914 0.1804 0.3110 1
Ce7 0.5086 0.8196 0.6890 1
Ce8 0.8694 0.1804 0.6890 1
Ce9 0.8196 0.3110 0.1306 1
Ce10 0.1804 0.3110 0.4914 1
Ce11 0.8196 0.6890 0.5086 1
Ce12 0.1804 0.6890 0.8694 1
Co1 0.3602 0.5000 0.8602 1
Co2 0.6398 0.5000 0.1398 1
Co3 0.5000 0.8602 0.3602 1
Co4 0.5000 0.1398 0.6398 1
Co5 0.8602 0.3602 0.5000 1
Co6 0.1398 0.6398 0.5000 1
Bi1 0.0000 0.0000 0.0000 1
```

***

> Among the records above, which one has the highest calculated total energy?

Ce6CoBi2H